# 1
Here is a relaxed structure of Fe2CuPt8 from the Alexandria database. Energies are from PBE-GGA.

a b c (Å): 14.023 3.909 6.207
angles (deg): 90.00 105.62 90.00
Space group C2/m (No. 12)
Asymmetric unit:
Fe: 0.227 0.000 0.145 (multiplicity 4)
Cu: 0.000 0.500 0.500 (multiplicity 2)
Pt: 0.047 0.000 0.228 (multiplicity 4)
Pt: 0.098 0.500 0.958 (multiplicity 4)
Pt: 0.141 0.000 0.696 (multiplicity 4)
Pt: 0.181 0.500 0.415 (multiplicity 4)

Energy relative to the elements in meV/atom: -167
Spin magnetization in μB/f.u.: 8.236



# 2
Here is a relaxed structure of PrYPuCd from the Alexandria database. Energies are from PBE-GGA.

a b c (Å): 7.772 7.772 7.772
angles (deg): 90.00 90.00 90.00
Space group F-43m (No. 216)
Asymmetric unit:
Pr: 0.000 0.000 0.000 (multiplicity 4)
Y: 0.000 0.000 0.500 (multiplicity 4)
Pu: 0.250 0.250 0.750 (multiplicity 4)
Cd: 0.250 0.250 0.250 (multiplicity 4)

Energy relative to the elements in meV/atom: 72
Spin magnetization in μB/f.u.: 6.590



# 3
Here is a relaxed structure of LaCu2Ru from the Alexandria database. Energies are from PBE-GGA.

a b c (Å): 3.267 3.267 6.662
angles (deg): 90.00 90.00 90.00
Space group P4mm (No. 99)
Asymmetric unit:
La: 0.000 0.000 0.000 (multiplicity 1)
Cu: 0.000 0.000 0.488 (multiplicity 1)
Cu: 0.500 0.500 0.659 (multiplicity 1)
Ru: 0.500 0.500 0.279 (multiplicity 1)

Energy relative to the elements in meV/atom: 167
Offset from the most stable computed form in eV per atom: 0.2251
Spin magnetization in μB/f.u.: 0.001



# 4
Here is a relaxed structure of ZnGaMo2 from the Alexandria database. Energies are from PBE-GGA.

a b c (Å): 6.982 6.982 5.341
angles (deg): 90.00 90.00 90.00
Space group I-42d (No. 122)
Asymmetric unit:
Zn: 0.000 0.000 0.000 (multiplicity 4)
Ga: 0.000 0.000 0.500 (multiplicity 4)
Mo: 0.246 0.250 0.625 (multiplicity 8)

Energy relative to the elements in meV/atom: 504
Offset from the most stable computed form in eV per atom: 0.2400
Spin magnetization in μB/f.u.: 0.000



# 5
Here is a relaxed structure of TbGd2Be from the Alexandria database. Energies are from PBE-GGA.

a b c (Å): 3.4471 3.4471 34.3733
angles (deg): 90.00 90.00 120.00
Space group R-3m (No. 166, hexagonal axes)
Asymmetric unit:
Tb: 0.0000 0.0000 0.0000 (multiplicity 3)
Gd: 0.0000 0.0000 0.4164 (multiplicity 6)
Be: 0.0000 0.0000 0.5000 (multiplicity 3)

Energy relative to the elements in meV/atom: 685
Offset from the most stable computed form in eV per atom: 0.6010
Spin magnetization in μB/f.u.: 15.021



# 6
Here is a relaxed structure of Rb2TlTeF from the Alexandria database. Energies are from PBE-GGA.

a b c (Å): 5.480 5.480 5.579
angles (deg): 90.00 90.00 90.00
Space group P4/mmm (No. 123)
Asymmetric unit:
Rb: 0.000 0.500 0.000 (multiplicity 2)
Tl: 0.000 0.000 0.500 (multiplicity 1)
Te: 0.500 0.500 0.500 (multiplicity 1)
F: 0.000 0.000 0.000 (multiplicity 1)

Uncorrected formation energy in meV/atom: -1397
Spin magnetization in μB/f.u.: 0.000



# 7
Here is a relaxed structure of ReTcAu2F from the Alexandria database. Energies are from PBE-GGA.

a b c (Å): 5.136 5.136 3.852
angles (deg): 90.00 90.00 90.00
Space group P4/mmm (No. 123)
Asymmetric unit:
Re: 0.000 0.000 0.000 (multiplicity 1)
Tc: 0.500 0.500 0.500 (multiplicity 1)
Au: 0.000 0.500 0.000 (multiplicity 2)
F: 0.000 0.000 0.500 (multiplicity 1)

Uncorrected formation energy in meV/atom: 942
Spin magnetization in μB/f.u.: 3.174



# 8
Here is a relaxed structure of VSi3Te from the Alexandria database. Energies are from PBE-GGA.

a b c (Å): 4.731 4.731 4.731
angles (deg): 90.00 90.00 90.00
Space group Pm-3m (No. 221)
Asymmetric unit:
V: 0.000 0.000 0.000 (multiplicity 1)
Si: 0.000 0.000 0.500 (multiplicity 3)
Te: 0.500 0.500 0.500 (multiplicity 1)

Offset from the most stable computed form in eV per atom: 0.0000
Uncorrected formation energy in meV/atom: 591
Spin magnetization in μB/f.u.: 1.212



# 9
Here is a relaxed structure of CdAg2Se2 from the Alexandria database. Energies are from PBE-GGA.

a b c (Å): 3.944 3.944 14.389
angles (deg): 90.00 90.00 90.00
Space group I4/mmm (No. 139)
Asymmetric unit:
Cd: 0.000 0.000 0.000 (multiplicity 2)
Ag: 0.000 0.500 0.250 (multiplicity 4)
Se: 0.000 0.000 0.388 (multiplicity 4)

Offset from the most stable computed form in eV per atom: 0.0383
Uncorrected formation energy in meV/atom: 2
Spin magnetization in μB/f.u.: 0.000



# 10
Here is a relaxed structure of AcErTl from the Alexandria database. Energies are from PBE-GGA.

a b c (Å): 4.948 4.948 8.440
angles (deg): 90.00 90.00 90.00
Space group P4/nmm (No. 129, origin choice 2)
Asymmetric unit:
Ac: 0.250 0.250 0.149 (multiplicity 2)
Er: 0.250 0.750 0.500 (multiplicity 2)
Tl: 0.250 0.250 0.741 (multiplicity 2)

Energy relative to the elements in meV/atom: -252
Offset from the most stable computed form in eV per atom: 0.0000
Spin magnetization in μB/f.u.: 0.957



# 11
Here is a relaxed structure of La2ScSe2S2 from the Alexandria database. Energies are from PBE-GGA.

a b c (Å): 4.818 4.818 15.296
angles (deg): 90.00 90.00 90.00
Space group I4/mmm (No. 139)
Asymmetric unit:
La: 0.000 0.000 0.129 (multiplicity 4)
Sc: 0.000 0.000 0.500 (multiplicity 2)
Se: 0.000 0.000 0.322 (multiplicity 4)
S: 0.000 0.500 0.000 (multiplicity 4)

Uncorrected formation energy in meV/atom: -1905
Spin magnetization in μB/f.u.: 0.000



# 12
Here is a relaxed structure of Dy3CuSn from the Alexandria database. Energies are from PBE-GGA.

a b c (Å): 5.897 10.401 8.314
angles (deg): 90.00 90.00 90.00
Space group Pnma (No. 62)
Asymmetric unit:
Dy: 0.001 0.097 0.141 (multiplicity 8)
Dy: 0.216 0.750 0.285 (multiplicity 4)
Cu: 0.078 0.250 0.422 (multiplicity 4)
Sn: 0.000 0.000 0.500 (multiplicity 4)

Energy relative to the elements in meV/atom: -230
Spin magnetization in μB/f.u.: 0.000



# 13
Here is a relaxed structure of BaCrW2 from the Alexandria database. Energies are from PBE-GGA.

a b c (Å): 5.595 10.379 2.908
angles (deg): 90.00 109.83 90.00
Space group C2/m (No. 12)
Asymmetric unit:
Ba: 0.000 0.000 0.000 (multiplicity 2)
Cr: 0.000 0.500 0.000 (multiplicity 2)
W: 0.250 0.250 0.500 (multiplicity 4)

Energy relative to the elements in meV/atom: 1529
Offset from the most stable computed form in eV per atom: 0.6703
Spin magnetization in μB/f.u.: 2.760